[1]
Computed, not measured: an optimized crystal structure of Zn2ReAg at the PBE level of DFT.

Summary:
As for the total magnetization: 0.0 Bohr magnetons per cell. The value obtained for the relative energy among the computed polymorphs is 148.9 meV per atom. The space-group type is No. 47. The value obtained for the formation energy is 0.2725 eV/atom.

The structure in POSCAR format:
```
Zn2ReAg
1.0
3.617 0.000 0.000
0.000 2.761 0.047
0.000 2.652 6.115
Ag Re Zn
1 1 2
Direct
0.500 0.250 0.250 Ag
0.500 0.750 0.750 Re
0.000 0.012 0.988 Zn
0.000 0.488 0.512 Zn
```



[2]
Computed, not measured: an optimized crystal structure of Zn2ReAg at the PBE level of DFT.

Summary:
As for the total magnetization: 0.0 Bohr magnetons per cell. The value obtained for the relative energy among the computed polymorphs is 88.6 meV per atom. The space-group type is No. 65. The value obtained for the formation energy is 0.2122 eV/atom.

The structure in POSCAR format:
```
Zn2ReAg
1.0
6.396 0.008 0.026
-2.625 4.035 -0.008
1.146 0.748 2.346
Ag Zn Re
1 2 1
Direct
0.000 0.500 0.500 Ag
0.500 0.000 0.500 Zn
0.000 0.000 0.000 Zn
0.500 0.500 0.000 Re
```